The following is a GGA-PBEsol calculation of a relaxed La3MnOs crystal, from Alexandria via LeMat-Bulk.

Properties
The spin magnetization is 0.00 μB/f.u. As for the density of states at the Fermi level: 4.0 states/eV/f.u. The formation energy is 3.2 eV/f.u.

```
5
Lattice="4.945 0.000 0.000 0.000 4.945 0.000 0.000 0.000 4.945" Properties=species:S:1:pos:R:3 pbc="T T T"
La 0.000 0.000 2.473
La 0.000 2.473 0.000
La 2.473 0.000 0.000
Mn 0.000 0.000 0.000
Os 2.473 2.473 2.473
```

The following is a GGA-PBEsol calculation of a relaxed RbLaMg3 crystal, from Alexandria via LeMat-Bulk.

Properties
The spin magnetization is 0.00 μB/f.u. As for the density of states at the Fermi level: 5.9 states/eV/f.u. The formation energy is 4.7 eV/f.u.

```
5
Lattice="5.655 0.000 0.000 0.000 5.655 0.000 0.000 0.000 5.655" Properties=species:S:1:pos:R:3 pbc="T T T"
Rb 0.000 0.000 0.000
La 2.828 2.828 2.828
Mg 0.000 0.000 2.828
Mg 0.000 2.828 0.000
Mg 2.828 0.000 0.000
```

The following is a GGA-PBEsol calculation of a relaxed AgBi2MoPb crystal, from Alexandria via LeMat-Bulk.

Properties
The spin magnetization is 4.00 μB/f.u. As for the density of states at the Fermi level: 3.4 states/eV/f.u. The formation energy is 8.1 eV/f.u.

```
5
Lattice="5.808 0.000 0.000 0.000 5.808 0.000 0.000 0.000 5.028" Properties=species:S:1:pos:R:3 pbc="T T T"
Ag 0.000 0.000 0.000
Bi 0.000 2.904 2.514
Bi 2.904 0.000 2.514
Mo 2.904 2.904 0.000
Pb 0.000 0.000 2.514
```

The following is a GGA-PBEsol calculation of a relaxed In2BMoRu crystal, from Alexandria via LeMat-Bulk.

Properties
The spin magnetization is 1.41 μB/f.u. As for the density of states at the Fermi level: 3.8 states/eV/f.u. The formation energy is 4.0 eV/f.u.

```
5
Lattice="4.580 0.000 0.000 0.000 4.580 0.000 0.000 0.000 3.904" Properties=species:S:1:pos:R:3 pbc="T T T"
In 0.000 2.290 0.000
In 2.290 0.000 0.000
B 0.000 0.000 0.000
Mo 2.290 2.290 1.952
Ru 0.000 0.000 1.952
```

The following is a GGA-PBEsol calculation of a relaxed CsBaSb crystal, from Alexandria via LeMat-Bulk.

Properties
The uncorrected formation energy is -0.79 eV per atom. The spin magnetization is 0.00 μB/f.u.

```
12
Lattice="9.650 0.000 0.000 0.000 5.767 0.000 0.000 0.000 10.006" Properties=species:S:1:pos:R:3 pbc="T T T"
Cs 0.104 1.442 1.741
Cs 4.721 4.325 6.744
Cs 4.929 1.442 3.262
Cs 9.546 4.325 8.265
Ba 1.473 1.442 5.844
Ba 3.351 4.325 0.841
Ba 6.298 1.442 9.165
Ba 8.176 4.325 4.162
Sb 1.978 4.325 3.997
Sb 2.846 1.442 9.000
Sb 6.803 4.325 1.006
Sb 7.671 1.442 6.009
```

The following is a GGA-PBEsol calculation of a relaxed MnNi2Te crystal, from Alexandria via LeMat-Bulk.

Properties
The uncorrected formation energy is 0.19 eV per atom. The spin magnetization is 4.05 μB/f.u. As for the density of states at the Fermi level: 3.4 states/eV/f.u.

```
4
Lattice="3.312 0.000 0.000 0.000 3.312 0.000 0.000 0.000 5.163" Properties=species:S:1:pos:R:3 pbc="T T T"
Mn 0.000 0.000 0.000
Ni 0.000 0.000 2.376
Ni 1.656 1.656 1.056
Te 1.656 1.656 3.587
```